[1]
TaRe2Se, relaxed, DFT PBE; crystal system = tetragonal; SG = I-42d; formation energy from raw total energies = 0.669 eV/atom
1.0
3.7059 0.0000 0.0000
0.0000 3.7059 0.0000
1.8530 1.8530 10.0573
Ta Se Re
2 2 4
direct
0.7500 0.2500 0.5000
0.0000 0.0000 0.0000
0.5000 0.5000 0.0000
0.2500 0.7500 0.5000
0.3750 0.4004 0.7500
0.5996 0.1250 0.2500
0.8750 0.8496 0.7500
0.1504 0.6250 0.2500

---

[2]
Ge2Pd2Au, relaxed, DFT PBE; offset from the most stable computed form = 0.000 eV per atom; energy relative to the elements = -1.1 eV per formula unit; crystal system = tetragonal; SG = P4/mbm
1.0
7.3221 0.0000 0.0000
0.0000 7.3221 0.0000
0.0000 0.0000 3.1426
Ge Au Pd
4 2 4
direct
0.1581 0.6581 0.5000
0.6581 0.8419 0.5000
0.3419 0.1581 0.5000
0.8419 0.3419 0.5000
0.5000 0.5000 0.0000
0.0000 0.0000 0.0000
0.6397 0.1397 0.0000
0.8603 0.6397 0.0000
0.1397 0.3603 0.0000
0.3603 0.8603 0.0000

---

[3]
LaIr2Pd, relaxed, DFT PBE; offset from the most stable computed form = 0.000 eV per atom; energy relative to the elements = -0.5 eV per formula unit; crystal system = tetragonal; SG = I-42d
1.0
4.4397 0.0000 0.0000
0.0000 4.4397 0.0000
2.2198 2.2198 9.2571
La Ir Pd
2 4 2
direct
0.0000 0.0000 0.0000
0.7500 0.2500 0.5000
0.2630 0.6250 0.2500
0.8750 0.7370 0.7500
0.3750 0.5130 0.7500
0.4870 0.1250 0.2500
0.5000 0.5000 0.0000
0.2500 0.7500 0.5000

---

What D(E_F) values result from the calculations? In sequence: 5.1, 4.3, 2.8 states/eV per cell.
What theoretical density values result from the calculations? In sequence: 15.203, 10.942, 11.462 g cm⁻³.
What final energy values result from the calculations? In sequence: -75.1, -47.9, -56.7 eV/cell.